DFT (PBE) results for a geometry-optimized Cs3NaI4 structure.

Output
ΔE_f (raw): -1119 kJ/mol of formula units
Energy above the most stable polymorph in this dataset: 0 meV per atom
SG: No. 166

Cell lengths 5.277, 5.277, 17.878 Å; angles 81.51, 81.51, 60.00 degrees
Sites, in units of the cell vectors:
Cs 0.744 0.744 0.769
Cs 0.500 0.500 0.500
Cs 0.256 0.256 0.231
Na 0.000 0.000 0.000
I 0.636 0.636 0.092
I 0.879 0.879 0.364
I 0.364 0.364 0.908
I 0.121 0.121 0.636